*1*
# NaTe2Br, relaxed, DFT PBE
# M_tot   0.00 μB/cell
# ρ   3.75 g/cm³
data_NaTe2Br
_chemical_formula_sum 'Na2 Te4 Br2'
_symmetry_space_group_name_H-M 'P 1'
_symmetry_Int_Tables_number 1
_cell_length_a 4.214
_cell_length_b 4.214
_cell_length_c 18.084
_cell_angle_alpha 83.31
_cell_angle_beta 83.31
_cell_angle_gamma 90.00
loop_
_symmetry_equiv_pos_as_xyz
'x,y,z'
loop_
_atom_site_label
_atom_site_type_symbol
_atom_site_fract_x
_atom_site_fract_y
_atom_site_fract_z
Br1 Br 0.000 0.000 0.000
Te1 Te 0.375 0.375 0.750
Te2 Te 0.125 0.625 0.250
Na1 Na 0.500 0.500 0.000
Te3 Te 0.625 0.125 0.250
Br2 Br 0.750 0.250 0.500
Na2 Na 0.250 0.750 0.500
Te4 Te 0.875 0.875 0.750

***

*2*
# NaTe2Br, relaxed, DFT PBE
# M_tot   0.00 μB/cell
# ρ   5.33 g/cm³
data_NaTe2Br
_chemical_formula_sum 'Na1 Te2 Br1'
_symmetry_space_group_name_H-M 'P 1'
_symmetry_Int_Tables_number 1
_cell_length_a 10.444
_cell_length_b 10.444
_cell_length_c 10.444
_cell_angle_alpha 19.56
_cell_angle_beta 19.56
_cell_angle_gamma 19.56
loop_
_symmetry_equiv_pos_as_xyz
'x,y,z'
loop_
_atom_site_label
_atom_site_type_symbol
_atom_site_fract_x
_atom_site_fract_y
_atom_site_fract_z
Te1 Te 0.750 0.750 0.750
Te2 Te 0.250 0.250 0.250
Na1 Na 0.000 0.000 0.000
Br1 Br 0.500 0.500 0.500

***

*3*
# NaTe2Br, relaxed, DFT PBE
# M_tot   0.00 μB/cell
# ρ   4.76 g/cm³
data_NaTe2Br
_chemical_formula_sum 'Na1 Te2 Br1'
_symmetry_space_group_name_H-M 'P 1'
_symmetry_Int_Tables_number 1
_cell_length_a 10.412
_cell_length_b 10.412
_cell_length_c 10.412
_cell_angle_alpha 20.82
_cell_angle_beta 20.82
_cell_angle_gamma 20.82
loop_
_symmetry_equiv_pos_as_xyz
'x,y,z'
loop_
_atom_site_label
_atom_site_type_symbol
_atom_site_fract_x
_atom_site_fract_y
_atom_site_fract_z
Te1 Te 0.090 0.090 0.090
Te2 Te 0.910 0.910 0.910
Br1 Br 0.000 0.000 0.000
Na1 Na 0.500 0.500 0.500

***

It turns out *1* is the most stable, with the second structure 0.549 eV/atom higher.

***

*1*
# Na2TeBr6, relaxed, DFT PBE
# M_tot   0.00 μB/cell
# ρ   3.62 g/cm³
data_Na2TeBr6
_chemical_formula_sum 'Na4 Te2 Br12'
_symmetry_space_group_name_H-M 'P 1'
_symmetry_Int_Tables_number 1
_cell_length_a 7.242
_cell_length_b 7.567
_cell_length_c 10.944
_cell_angle_alpha 90.00
_cell_angle_beta 92.71
_cell_angle_gamma 90.00
loop_
_symmetry_equiv_pos_as_xyz
'x,y,z'
loop_
_atom_site_label
_atom_site_type_symbol
_atom_site_fract_x
_atom_site_fract_y
_atom_site_fract_z
Br1 Br 0.825 0.704 0.582
Br2 Br 0.175 0.296 0.418
Br3 Br 0.696 0.197 0.552
Br4 Br 0.355 0.565 0.768
Br5 Br 0.304 0.803 0.448
Na1 Na 0.033 0.583 0.214
Na2 Na 0.967 0.417 0.786
Br6 Br 0.196 0.303 0.052
Br7 Br 0.804 0.697 0.948
Na3 Na 0.533 0.917 0.714
Br8 Br 0.325 0.796 0.082
Te1 Te 0.500 0.500 0.000
Br9 Br 0.645 0.435 0.232
Na4 Na 0.467 0.083 0.286
Br10 Br 0.145 0.065 0.732
Br11 Br 0.855 0.935 0.268
Te2 Te 0.000 0.000 0.500
Br12 Br 0.675 0.204 0.918

***

*2*
# Na2TeBr6, relaxed, DFT PBE
# M_tot   0.00 μB/cell
# ρ   3.48 g/cm³
data_Na2TeBr6
_chemical_formula_sum 'Na4 Te2 Br12'
_symmetry_space_group_name_H-M 'P 1'
_symmetry_Int_Tables_number 1
_cell_length_a 6.920
_cell_length_b 6.920
_cell_length_c 13.016
_cell_angle_alpha 90.00
_cell_angle_beta 90.00
_cell_angle_gamma 90.00
loop_
_symmetry_equiv_pos_as_xyz
'x,y,z'
loop_
_atom_site_label
_atom_site_type_symbol
_atom_site_fract_x
_atom_site_fract_y
_atom_site_fract_z
Br1 Br 0.219 0.781 0.500
Br2 Br 0.281 0.281 0.000
Br3 Br 0.719 0.719 0.000
Br4 Br 0.190 0.810 0.155
Br5 Br 0.190 0.810 0.845
Te1 Te 0.500 0.500 0.500
Na1 Na 0.500 0.500 0.166
Na2 Na 0.500 0.500 0.834
Na3 Na 0.000 0.000 0.666
Br6 Br 0.810 0.190 0.155
Br7 Br 0.690 0.690 0.655
Na4 Na 0.000 0.000 0.334
Br8 Br 0.310 0.310 0.345
Br9 Br 0.781 0.219 0.500
Br10 Br 0.310 0.310 0.655
Br11 Br 0.690 0.690 0.345
Te2 Te 0.000 0.000 0.000
Br12 Br 0.810 0.190 0.845

***

It turns out *1* is the most stable, with the second structure 0.023 eV/atom higher.

***

*1*
# NaTeBr3, relaxed, DFT PBE
# M_tot   0.00 μB/cell
# ρ   3.08 g/cm³
data_NaTeBr3
_chemical_formula_sum 'Na2 Te2 Br6'
_symmetry_space_group_name_H-M 'P 1'
_symmetry_Int_Tables_number 1
_cell_length_a 5.691
_cell_length_b 15.010
_cell_length_c 10.179
_cell_angle_alpha 57.97
_cell_angle_beta 119.04
_cell_angle_gamma 144.97
loop_
_symmetry_equiv_pos_as_xyz
'x,y,z'
loop_
_atom_site_label
_atom_site_type_symbol
_atom_site_fract_x
_atom_site_fract_y
_atom_site_fract_z
Br1 Br 0.864 0.077 0.085
Br2 Br 0.534 0.111 0.673
Na1 Na 0.507 0.600 0.090
Br3 Br 0.148 0.321 0.372
Br4 Br 0.422 0.735 0.749
Te1 Te 0.200 0.328 0.830
Br5 Br 0.092 0.769 0.337
Na2 Na 0.449 0.246 0.332
Br6 Br 0.808 0.525 0.050
Te2 Te 0.756 0.518 0.592

***

*2*
# NaTeBr3, relaxed, DFT PBE
# M_tot   0.00 μB/cell
# ρ   3.68 g/cm³
data_NaTeBr3
_chemical_formula_sum 'Na2 Te2 Br6'
_symmetry_space_group_name_H-M 'P 1'
_symmetry_Int_Tables_number 1
_cell_length_a 4.462
_cell_length_b 9.257
_cell_length_c 9.243
_cell_angle_alpha 78.05
_cell_angle_beta 101.85
_cell_angle_gamma 77.47
loop_
_symmetry_equiv_pos_as_xyz
'x,y,z'
loop_
_atom_site_label
_atom_site_type_symbol
_atom_site_fract_x
_atom_site_fract_y
_atom_site_fract_z
Br1 Br 0.846 0.639 0.430
Br2 Br 0.742 0.311 0.750
Na1 Na 0.242 0.738 0.181
Te1 Te 0.789 0.632 0.711
Te2 Te 0.695 0.272 0.071
Br3 Br 0.639 0.265 0.353
Br4 Br 0.742 0.593 0.032
Br5 Br 0.844 0.913 0.703
Br6 Br 0.641 0.991 0.079
Na2 Na 0.243 0.167 0.601

***

*3*
# NaTeBr3, relaxed, DFT PBE
# M_tot   0.00 μB/cell
# ρ   3.33 g/cm³
data_NaTeBr3
_chemical_formula_sum 'Na1 Te1 Br3'
_symmetry_space_group_name_H-M 'P 1'
_symmetry_Int_Tables_number 1
_cell_length_a 5.793
_cell_length_b 5.793
_cell_length_c 5.793
_cell_angle_alpha 90.00
_cell_angle_beta 90.00
_cell_angle_gamma 90.00
loop_
_symmetry_equiv_pos_as_xyz
'x,y,z'
loop_
_atom_site_label
_atom_site_type_symbol
_atom_site_fract_x
_atom_site_fract_y
_atom_site_fract_z
Te1 Te 0.000 0.000 0.000
Br1 Br 0.000 0.500 0.000
Br2 Br 0.000 0.000 0.500
Na1 Na 0.500 0.500 0.500
Br3 Br 0.500 0.000 0.000

***

It turns out *1* is the most stable, with the second structure 0.008 eV/atom higher.

***

*1*
# NaTeBr2, relaxed, DFT PBE
# M_tot   0.30 μB/cell
# ρ   4.08 g/cm³
data_NaTeBr2
_chemical_formula_sum 'Na1 Te1 Br2'
_symmetry_space_group_name_H-M 'P 1'
_symmetry_Int_Tables_number 1
_cell_length_a 10.503
_cell_length_b 10.503
_cell_length_c 10.503
_cell_angle_alpha 20.67
_cell_angle_beta 20.67
_cell_angle_gamma 20.67
loop_
_symmetry_equiv_pos_as_xyz
'x,y,z'
loop_
_atom_site_label
_atom_site_type_symbol
_atom_site_fract_x
_atom_site_fract_y
_atom_site_fract_z
Na1 Na 0.000 0.000 0.000
Br1 Br 0.086 0.086 0.086
Br2 Br 0.914 0.914 0.914
Te1 Te 0.500 0.500 0.500

***

*2*
# NaTeBr2, relaxed, DFT PBE
# M_tot   0.00 μB/cell
# ρ   3.96 g/cm³
data_NaTeBr2
_chemical_formula_sum 'Na1 Te1 Br2'
_symmetry_space_group_name_H-M 'P 1'
_symmetry_Int_Tables_number 1
_cell_length_a 9.217
_cell_length_b 9.217
_cell_length_c 9.217
_cell_angle_alpha 25.75
_cell_angle_beta 25.75
_cell_angle_gamma 25.75
loop_
_symmetry_equiv_pos_as_xyz
'x,y,z'
loop_
_atom_site_label
_atom_site_type_symbol
_atom_site_fract_x
_atom_site_fract_y
_atom_site_fract_z
Br1 Br 0.897 0.897 0.897
Br2 Br 0.103 0.103 0.103
Na1 Na 0.500 0.500 0.500
Te1 Te 0.000 0.000 0.000

***

*3*
# NaTeBr2, relaxed, DFT PBE
# M_tot   0.00 μB/cell
# ρ   4.18 g/cm³
data_NaTeBr2
_chemical_formula_sum 'Na2 Te2 Br4'
_symmetry_space_group_name_H-M 'P 1'
_symmetry_Int_Tables_number 1
_cell_length_a 8.143
_cell_length_b 8.143
_cell_length_c 6.854
_cell_angle_alpha 53.56
_cell_angle_beta 53.56
_cell_angle_gamma 90.00
loop_
_symmetry_equiv_pos_as_xyz
'x,y,z'
loop_
_atom_site_label
_atom_site_type_symbol
_atom_site_fract_x
_atom_site_fract_y
_atom_site_fract_z
Te1 Te 0.750 0.250 0.500
Br1 Br 0.132 0.625 0.250
Te2 Te 0.000 0.000 0.000
Br2 Br 0.618 0.125 0.250
Br3 Br 0.875 0.868 0.750
Na1 Na 0.250 0.750 0.500
Na2 Na 0.500 0.500 0.000
Br4 Br 0.375 0.382 0.750

***

*4*
# NaTeBr2, relaxed, DFT PBE
# M_tot   2.63 μB/cell
# ρ   4.23 g/cm³
data_NaTeBr2
_chemical_formula_sum 'Na1 Te1 Br2'
_symmetry_space_group_name_H-M 'P 1'
_symmetry_Int_Tables_number 1
_cell_length_a 5.563
_cell_length_b 5.563
_cell_length_c 5.563
_cell_angle_alpha 60.00
_cell_angle_beta 60.00
_cell_angle_gamma 60.00
loop_
_symmetry_equiv_pos_as_xyz
'x,y,z'
loop_
_atom_site_label
_atom_site_type_symbol
_atom_site_fract_x
_atom_site_fract_y
_atom_site_fract_z
Te1 Te 0.500 0.500 0.500
Na1 Na 0.000 0.000 0.000
Br1 Br 0.250 0.250 0.250
Br2 Br 0.750 0.750 0.750

***

It turns out *2* is the most stable, with the second structure 0.272 eV/atom higher.